Below is a relaxed structure of ZrBeHg, with properties calculated at the GGA-PBEsol level.

Output
D(E_F) = 2.35 states/eV per cell
magnetization = 0.00 μB/f.u.
calculated volume = 101 Å³/cell
E = -4.8135 eV/atom
crystal system = orthorhombic
energy of formation = -0.26 eV/atom

Cell and atoms, written as CIF:
```
data_ZrBeHg
_chemical_formula_sum 'Zr2 Be2 Hg2'
_symmetry_space_group_name_H-M 'P 1'
_symmetry_Int_Tables_number 1
_symmetry_space_group_name_Hall 'P 1'
_cell_length_a 3.592
_cell_length_b 3.686
_cell_length_c 7.817
_cell_angle_alpha 76.36
_cell_angle_beta 90.00
_cell_angle_gamma 90.00
loop_
_atom_site_label
_atom_site_fract_x
_atom_site_fract_y
_atom_site_fract_z
_atom_site_occupancy
Hg1 0.750 0.199 0.602 1
Be1 0.250 0.964 0.072 1
Hg2 0.250 0.801 0.398 1
Zr1 0.250 0.587 0.826 1
Zr2 0.750 0.413 0.174 1
Be2 0.750 0.036 0.928 1
```